# AlCrWO6 (GGA+U, relaxed)
# - M_tot: 0.333 μB per atom
# - DOS(E_F): 0.00 states/eV/atom
# - Raw total energy: -135.84 eV/cell
data_AlCrWO6
_chemical_formula_sum 'Al2 Cr2 W2 O12'
_cell_length_a 4.9690
_cell_length_b 4.9690
_cell_length_c 8.7990
_cell_angle_alpha 90.00
_cell_angle_beta 90.00
_cell_angle_gamma 120.00
_symmetry_space_group_name_H-M 'P -3 1 c'
_symmetry_Int_Tables_number 163
_symmetry_space_group_name_Hall '-P 3 2c'
loop_
_atom_site_label
_atom_site_fract_x
_atom_site_fract_y
_atom_site_fract_z
Al1 0.3333 0.6667 0.2500
Cr1 0.0000 0.0000 0.0000
W1 0.3333 0.6667 0.7500
O1 0.0046 0.3464 0.1317